{
  "formula": "Na2Be2S3",
  "functional": "PBE",
  "state": "optimized geometry",
  "polymorph_energy_mev_per_atom": 0,
  "n_ef_per_ev_atom": 0.00,
  "final_energy_ev_per_atom": -4.27,
  "formation_energy_uncorrected_ev_per_atom": -1.058,
  "crystal_system": "monoclinic",
  "space_group": "No. 15",
  "cell": [[7.072, -6.170, 0.000], [7.072, 6.170, 0.000], [-2.536, 0.000, 5.550]],
  "species": ["Na", "Na", "Na", "Na", "Na", "Na", "Na", "Na", "Be", "Be", "Be", "Be", "Be", "Be", "Be", "Be", "S", "S", "S", "S", "S", "S", "S", "S", "S", "S", "S", "S"],
  "frac_coords": [[0.066, 0.934, 0.750], [0.214, 0.786, 0.250], [0.311, 0.487, 0.414], [0.487, 0.311, 0.914], [0.513, 0.689, 0.086], [0.689, 0.513, 0.586], [0.786, 0.214, 0.750], [0.934, 0.066, 0.250], [0.037, 0.576, 0.729], [0.145, 0.302, 0.798], [0.302, 0.145, 0.298], [0.424, 0.963, 0.771], [0.576, 0.037, 0.229], [0.698, 0.855, 0.702], [0.855, 0.698, 0.202], [0.963, 0.424, 0.271], [0.056, 0.644, 0.439], [0.097, 0.247, 0.086], [0.247, 0.097, 0.586], [0.252, 0.509, 0.916], [0.356, 0.944, 0.061], [0.491, 0.748, 0.584], [0.509, 0.252, 0.416], [0.644, 0.056, 0.939], [0.748, 0.491, 0.084], [0.753, 0.903, 0.414], [0.903, 0.753, 0.914], [0.944, 0.356, 0.561]]
}